## KGa4Pd2 (PBE)

Data for an optimized crystal structure of KGa4Pd2.

Computed properties:
energy of formation from the pure elements	-0.393	eV per atom
density of states at the Fermi level	10.3	states/eV/cell
symmetry	Pnma, No. 62

Cell and atoms, written as extended XYZ:
```
28
Lattice="17.3432 0.0000 0.0000 0.0000 4.2829 0.0000 0.0000 0.0000 7.6582" Properties=species:S:1:pos:R:3 pbc="T T T"
K 1.8595 1.0707 0.1117
K 6.8121 3.2121 3.9408
K 10.5311 1.0707 3.7174
K 15.4836 3.2121 7.5464
Ga 0.8463 3.2121 5.3706
Ga 1.6554 1.0707 3.6863
Ga 3.2926 3.2121 2.6208
Ga 3.5289 3.2121 5.5432
Ga 5.1427 1.0707 1.7141
Ga 5.3790 1.0707 6.4499
Ga 7.0161 3.2121 7.5154
Ga 7.8252 1.0707 1.5415
Ga 9.5179 3.2121 6.1167
Ga 10.3270 1.0707 0.1428
Ga 11.9641 3.2121 1.2083
Ga 12.2005 3.2121 5.9440
Ga 13.8142 1.0707 2.1149
Ga 14.0506 1.0707 5.0374
Ga 15.6877 3.2121 3.9719
Ga 16.4968 1.0707 2.2876
Pd 0.6264 3.2121 2.6311
Pd 4.1265 1.0707 4.1501
Pd 4.5450 3.2121 0.3210
Pd 8.0451 1.0707 6.4602
Pd 9.2980 3.2121 1.1980
Pd 12.7981 1.0707 7.3371
Pd 13.2166 3.2121 3.5080
Pd 16.7167 1.0707 5.0271
```